Record 1
Here is a relaxed structure of PuPaPt2 from Alexandria via LeMat-Bulk. Energies are from GGA-PBE.

abc: 3.5389 3.5389 7.0267
angles: 90.00 90.00 90.00
With the nearest neighbours (Å) after each atom.
Fractional positions:
Pt (0.0000, 0.0000, 0.7723)  4 Pa 2.97, 4 Pu 3.15, 1 Pt 3.20
Pt (0.0000, 0.0000, 0.2277)  4 Pa 2.97, 4 Pu 3.15, 1 Pt 3.20
Pa (0.5000, 0.5000, 0.0000)  8 Pt 2.97
Pu (0.5000, 0.5000, 0.5000)  8 Pt 3.15, 2 Pa 3.51

Energy of formation: -783 meV/atom
Crystal system: tetragonal
Space group: P4/mmm
Energy: -39.041 eV/cell
N(E_F): 10.5 states/eV/cell
Energy above the most stable polymorph in this dataset: 0.1505 eV/atom

Record 2
Here is a relaxed structure of HgP2Os from Alexandria via LeMat-Bulk. Energies are from GGA-PBE.

abc: 3.8371 3.8371 7.7826
angles: 106.33 106.33 46.17
With the nearest neighbours (Å) after each atom.
Fractional positions:
P (0.5999, 0.5999, 0.4114)  3 Os 2.40, 1 Hg 2.52
P (0.9001, 0.9001, 0.0886)  3 Os 2.40, 1 Hg 2.52
Os (0.2500, 0.2500, 0.2500)  6 P 2.40
Hg (0.7500, 0.7500, 0.7500)  2 P 2.52

Energy of formation: -8 meV/atom
Crystal system: monoclinic
Space group: C2/m
Energy: -22.384 eV/cell
N(E_F): 1.1 states/eV/cell

Record 3
Here is a relaxed structure of Th2In5Sn from Alexandria via LeMat-Bulk. Energies are from GGA-PBE.

abc: 4.6759 6.7752 13.4880
angles: 90.00 90.00 90.00
With the nearest neighbours (Å) after each atom.
Fractional positions:
Sn (0.0000, 0.0000, 0.5000)  4 Th 3.28, 8 In 3.38-3.40
Sn (0.0000, 0.5000, 0.0000)  4 Th 3.28, 8 In 3.38-3.40
In (0.5000, 0.2397, 0.8713)  6 In 3.31-3.33, 4 Th 3.37-3.39, 2 Sn 3.40
In (0.0000, 0.5000, 0.5000)  6 In 3.33-3.36, 4 Th 3.36, 2 Sn 3.39
In (0.5000, 0.7397, 0.6287)  6 In 3.31-3.33, 4 Th 3.37-3.39, 2 Sn 3.40
In (0.0000, 0.0000, 0.0000)  6 In 3.33-3.36, 4 Th 3.36, 2 Sn 3.39
In (0.0000, 0.9897, 0.7508)  7 In 3.31-3.39, 4 Th 3.36-3.37, 1 Sn 3.38
In (0.0000, 0.5103, 0.2508)  7 In 3.31-3.39, 4 Th 3.36-3.37, 1 Sn 3.38
In (0.5000, 0.2603, 0.3713)  6 In 3.31-3.33, 4 Th 3.37-3.39, 2 Sn 3.40
In (0.0000, 0.0103, 0.2492)  7 In 3.31-3.39, 4 Th 3.36-3.37, 1 Sn 3.38
In (0.0000, 0.4897, 0.7492)  7 In 3.31-3.39, 4 Th 3.36-3.37, 1 Sn 3.38
In (0.5000, 0.7603, 0.1287)  6 In 3.31-3.33, 4 Th 3.37-3.39, 2 Sn 3.40
Th (0.5000, 0.2605, 0.1214)  2 Sn 3.28, 10 In 3.36-3.39
Th (0.5000, 0.7605, 0.3786)  2 Sn 3.28, 10 In 3.36-3.39
Th (0.5000, 0.7395, 0.8786)  2 Sn 3.28, 10 In 3.36-3.39
Th (0.5000, 0.2395, 0.6214)  2 Sn 3.28, 10 In 3.36-3.39

Energy of formation: -364 meV/atom
Crystal system: orthorhombic
Space group: Pbam
Energy: -70.887 eV/cell
N(E_F): 12.1 states/eV/cell